Here is a crystal of Ac2SiPd relaxed with PBEsol from Alexandria. Energies are from meta-GGA SCAN.

```
Ac2SiPd
1.0
0.0000 3.7784 3.7784
3.7784 0.0000 3.7784
3.7784 3.7784 0.0000
Ac Si Pd
2 1 1
Cartesian
1.8892 1.8892 1.8892 Ac
5.6676 5.6676 5.6676 Ac
0.0000 0.0000 0.0000 Si
3.7784 3.7784 3.7784 Pd
```

VASP energy = -56.535 eV/atom
magnetization = 0.00 μB per cell
ρ = 9.06 g cm⁻³
density of states at the Fermi level = 0.220 states/eV/atom